Record 1
The following is a DFT calculation (PBE) of HfCuNi2P after structural relaxation.

Results
Magnetic moment ... 0.0 Bohr magnetons per cell
Calculated density ... 7.84 g/cm³
Total DFT energy (no corrections) ... -30.61 eV per cell

a b c (Å): 4.1481 4.1481 4.8052
angles (deg): 90.00 90.00 90.00
Space group P4/mmm (No. 123)
Inequivalent atoms, fractional coordinates:
Hf: 0.0000 0.0000 0.0000
Cu: 0.5000 0.5000 0.0000
Ni: 0.0000 0.5000 0.5000
P: 0.0000 0.0000 0.5000

Record 2
The following is a DFT calculation (PBE) of HfCuNiPd after structural relaxation.

Results
Magnetic moment ... 0.0 Bohr magnetons per cell
Calculated density ... 11.37 g/cm³
Total DFT energy (no corrections) ... -106.52 eV per cell

a b c (Å): 6.1966 6.1966 6.1966
angles (deg): 90.00 90.00 90.00
Space group F-43m (No. 216)
Inequivalent atoms, fractional coordinates:
Hf: 0.0000 0.0000 0.0000
Cu: 0.0000 0.0000 0.5000
Ni: 0.2500 0.2500 0.7500
Pd: 0.2500 0.2500 0.2500

Record 3
The following is a DFT calculation (PBE) of Pm2HfCu3Ni12 after structural relaxation.

Results
Magnetic moment ... 0.0 Bohr magnetons per cell
Calculated density ... 8.99 g/cm³
Total DFT energy (no corrections) ... -303.12 eV per cell

a b c (Å): 8.4355 8.4355 12.2623
angles (deg): 90.00 90.00 120.00
Space group R-3m (No. 166, hexagonal axes)
Inequivalent atoms, fractional coordinates:
Pm: 0.0000 0.0000 0.2075
Hf: 0.0000 0.0000 0.5000
Cu: 0.0000 0.5000 0.0000
Ni: 0.0086 0.5043 0.2057
Ni: 0.0325 0.5162 0.6062

Which formation energy belongs to each record? In order, 40; -155; 8 kJ/mol of formula units.